Here is crystalline Pr8TcRh2 at its relaxed geometry from Alexandria via LeMat-Bulk. Energies are from PBE.

Cell and atoms, written as POSCAR:
```
Pr8TcRh2
1.0
0.666 -3.579 -5.037
4.976 -3.505 5.054
-7.699 -0.944 1.558
Pr Tc Rh
8 1 2
direct
0.593 0.343 0.092
0.593 0.092 0.343
0.180 0.363 0.363
0.998 0.208 0.793
0.998 0.793 0.208
0.818 0.645 0.645
0.401 0.914 0.661
0.401 0.661 0.914
0.019 0.007 0.007
0.500 0.705 0.303
0.500 0.303 0.705
```

Computed properties:
M_tot   0.000 μB per formula unit
E   -65.09 eV per cell
Energy relative to the elements   -0.162 eV per atom